Entry 1:
Ca2NpB2Rh5 | PBE | optimized geometry

DFT total energy	-7.16	eV/atom
spin magnetization	3.225	μB per formula unit
calculated formation energy	-0.458	eV/atom
symmetry	P4/mbm
crystal system	tetragonal

abc: 10.104 10.104 3.047
angles: 90.00 90.00 90.00
Fractional coordinates of all 20 atoms:
1 Ca 0.176 0.324 0.000
2 Ca 0.324 0.824 0.000
3 Ca 0.676 0.176 0.000
4 Ca 0.824 0.676 0.000
5 Np 0.000 0.000 0.000
6 Np 0.500 0.500 0.000
7 B 0.118 0.618 0.000
8 B 0.382 0.118 0.000
9 B 0.618 0.882 0.000
10 B 0.882 0.382 0.000
11 Rh 0.000 0.500 0.500
12 Rh 0.071 0.770 0.500
13 Rh 0.230 0.071 0.500
14 Rh 0.270 0.571 0.500
15 Rh 0.429 0.270 0.500
16 Rh 0.500 0.000 0.500
17 Rh 0.571 0.730 0.500
18 Rh 0.730 0.429 0.500
19 Rh 0.770 0.929 0.500
20 Rh 0.929 0.230 0.500

---

Entry 2:
Tb2Zn2PdPt5 | PBE | optimized geometry

DFT total energy	-5.52	eV/atom
spin magnetization	0.000	μB per formula unit
calculated formation energy	-0.799	eV/atom
symmetry	P4/mbm
crystal system	tetragonal

abc: 9.463 9.463 3.900
angles: 90.00 90.00 90.00
Fractional coordinates of all 20 atoms:
1 Tb 0.179 0.321 0.000
2 Tb 0.321 0.821 0.000
3 Tb 0.679 0.179 0.000
4 Tb 0.821 0.679 0.000
5 Zn 0.120 0.620 0.000
6 Zn 0.380 0.120 0.000
7 Zn 0.620 0.880 0.000
8 Zn 0.880 0.380 0.000
9 Pd 0.000 0.000 0.000
10 Pd 0.500 0.500 0.000
11 Pt 0.000 0.500 0.500
12 Pt 0.067 0.796 0.500
13 Pt 0.204 0.067 0.500
14 Pt 0.296 0.567 0.500
15 Pt 0.433 0.296 0.500
16 Pt 0.500 0.000 0.500
17 Pt 0.567 0.704 0.500
18 Pt 0.704 0.433 0.500
19 Pt 0.796 0.933 0.500
20 Pt 0.933 0.204 0.500

---

Entry 3:
AlCuF4 | PBE | optimized geometry

DFT total energy	-5.10	eV/atom
spin magnetization	0.062	μB per formula unit
symmetry	P2/m
crystal system	monoclinic
energy relative to the elements, uncorrected	-2547	meV per atom

abc: 4.671 2.851 6.260
angles: 90.00 95.66 90.00
Fractional coordinates of all 6 atoms:
1 Al 0.000 0.000 0.000
2 Cu 0.000 0.500 0.500
3 F 0.146 0.000 0.744
4 F 0.235 0.500 0.094
5 F 0.765 0.500 0.906
6 F 0.854 0.000 0.256

---

Entry 4:
Ce5AlSi3 | PBE | optimized geometry

DFT total energy	-5.99	eV/atom
spin magnetization	5.238	μB per formula unit
symmetry	P6_3/mcm
crystal system	hexagonal
energy relative to the elements, uncorrected	-471	meV per atom

abc: 8.896 8.896 6.173
angles: 90.00 90.00 120.00
Fractional coordinates of all 18 atoms:
1 Ce 0.000 0.298 0.250
2 Ce 0.000 0.702 0.750
3 Ce 0.298 0.000 0.250
4 Ce 0.298 0.298 0.750
5 Ce 0.333 0.667 0.000
6 Ce 0.333 0.667 0.500
7 Ce 0.667 0.333 0.000
8 Ce 0.667 0.333 0.500
9 Ce 0.702 0.000 0.750
10 Ce 0.702 0.702 0.250
11 Al 0.000 0.000 0.000
12 Al 0.000 0.000 0.500
13 Si 0.000 0.359 0.750
14 Si 0.000 0.641 0.250
15 Si 0.359 0.000 0.750
16 Si 0.359 0.359 0.250
17 Si 0.641 0.000 0.250
18 Si 0.641 0.641 0.750

---

Entry 5:
Li2Ca2MgAl5 | PBE | optimized geometry

DFT total energy	-2.98	eV/atom
spin magnetization	0.000	μB per formula unit
calculated formation energy	-0.166	eV/atom
symmetry	P4/mbm
crystal system	tetragonal

abc: 9.472 9.472 4.449
angles: 90.00 90.00 90.00
Fractional coordinates of all 20 atoms:
1 Li 0.112 0.388 0.000
2 Li 0.388 0.888 0.000
3 Li 0.612 0.112 0.000
4 Li 0.888 0.612 0.000
5 Ca 0.182 0.682 0.000
6 Ca 0.318 0.182 0.000
7 Ca 0.682 0.818 0.000
8 Ca 0.818 0.318 0.000
9 Mg 0.000 0.000 0.000
10 Mg 0.500 0.500 0.000
11 Al 0.000 0.500 0.500
12 Al 0.057 0.208 0.500
13 Al 0.208 0.943 0.500
14 Al 0.292 0.443 0.500
15 Al 0.443 0.708 0.500
16 Al 0.500 0.000 0.500
17 Al 0.557 0.292 0.500
18 Al 0.708 0.557 0.500
19 Al 0.792 0.057 0.500
20 Al 0.943 0.792 0.500

---

Entry 6:
SrTbOsO6 | PBE | optimized geometry

DFT total energy	-7.39	eV/atom
spin magnetization	1.036	μB per formula unit
symmetry	P-31c
crystal system	trigonal
energy relative to the elements, uncorrected	-2140	meV per atom

abc: 5.604 5.604 10.345
angles: 90.00 90.00 120.00
Fractional coordinates of all 18 atoms:
1 Sr 0.000 0.000 0.000
2 Sr 0.000 0.000 0.500
3 Tb 0.333 0.667 0.250
4 Tb 0.667 0.333 0.750
5 Os 0.333 0.667 0.750
6 Os 0.667 0.333 0.250
7 O 0.047 0.391 0.645
8 O 0.047 0.657 0.855
9 O 0.343 0.391 0.855
10 O 0.343 0.953 0.645
11 O 0.391 0.047 0.145
12 O 0.391 0.343 0.355
13 O 0.609 0.657 0.645
14 O 0.609 0.953 0.855
15 O 0.657 0.047 0.355
16 O 0.657 0.609 0.145
17 O 0.953 0.343 0.145
18 O 0.953 0.609 0.355

---

Entry 7:
LaSn3Pd5 | PBE | optimized geometry

DFT total energy	-5.38	eV/atom
spin magnetization	0.000	μB per formula unit
calculated formation energy	-0.614	eV/atom
symmetry	Cmcm
crystal system	orthorhombic

abc: 7.332 7.332 13.605
angles: 90.00 90.00 148.18
Fractional coordinates of all 18 atoms:
1 La 0.120 0.880 0.750
2 La 0.880 0.120 0.250
3 Sn 0.130 0.870 0.250
4 Sn 0.378 0.622 0.042
5 Sn 0.378 0.622 0.458
6 Sn 0.622 0.378 0.542
7 Sn 0.622 0.378 0.958
8 Sn 0.870 0.130 0.750
9 Pd 0.000 0.000 0.000
10 Pd 0.000 0.000 0.500
11 Pd 0.196 0.804 0.068
12 Pd 0.196 0.804 0.432
13 Pd 0.458 0.542 0.648
14 Pd 0.458 0.542 0.852
15 Pd 0.542 0.458 0.148
16 Pd 0.542 0.458 0.352
17 Pd 0.804 0.196 0.568
18 Pd 0.804 0.196 0.932

---

Entry 8:
Mg2MnSnCl8 | PBE | optimized geometry

DFT total energy	-3.99	eV/atom
spin magnetization	5.017	μB per formula unit
symmetry	P2/m
crystal system	monoclinic
energy relative to the elements, uncorrected	-1394	meV per atom

abc: 6.061 7.807 6.296
angles: 90.00 90.85 90.00
Fractional coordinates of all 12 atoms:
1 Mg 0.000 0.239 0.000
2 Mg 0.000 0.761 0.000
3 Mn 0.500 0.000 0.500
4 Sn 0.500 0.500 0.500
5 Cl 0.204 0.500 0.847
6 Cl 0.219 0.000 0.829
7 Cl 0.268 0.225 0.319
8 Cl 0.268 0.775 0.319
9 Cl 0.732 0.225 0.681
10 Cl 0.732 0.775 0.681
11 Cl 0.781 0.000 0.171
12 Cl 0.796 0.500 0.153

---

Which value of spin magnetization does entry 8 give? 5.017 μB per formula unit